No. 1
# Ca3Zn2Cu2P4

A relaxed structure of Ca3Zn2Cu2P4 (GGA-PBE, Alexandria).

ΔH_f (0 K): -0.790 eV per atom
spin magnetization: 0.0 μB/f.u.
space-group type: P-3m1

```
11
Lattice="-0.743 -3.397 2.062 0.325 -0.111 -4.028 14.492 -2.419 1.237" Properties=species:S:1:pos:R:3 pbc="T T T"
Zn 5.960 -3.361 0.574
Zn 8.115 -2.566 -1.303
Ca 3.882 -0.648 0.331
Ca 10.610 -1.771 0.906
Ca 0.000 0.000 0.000
P 1.556 -2.626 0.198
P 12.519 -3.301 -0.927
P 8.461 -3.778 0.787
P 5.614 -2.148 -1.517
Cu 1.924 -1.532 -1.831
Cu 12.151 -4.394 1.102
```

---

No. 2
# FeIr2Se

A relaxed structure of FeIr2Se (GGA-PBE, Alexandria).

spin magnetization: 2.9 μB/f.u.
energy relative to the elements, uncorrected: 0.2732 eV/atom
space-group type: Amm2

```
4
Lattice="3.863 0.000 0.000 0.000 2.823 0.013 0.000 1.387 5.455" Properties=species:S:1:pos:R:3 pbc="T T T"
Se 0.000 1.576 2.886
Fe 1.932 2.980 4.109
Ir 0.000 1.563 5.356
Ir 1.932 1.582 1.306
```

---

No. 3
# ZnCu4

A relaxed structure of ZnCu4 (GGA-PBE, Alexandria).

ΔH_f (0 K): 0.848 eV per atom
spin magnetization: 0.0 μB/f.u.
space-group type: Pm-3m

```
5
Lattice="4.404 0.000 0.000 0.000 4.404 0.000 0.000 0.000 4.404" Properties=species:S:1:pos:R:3 pbc="T T T"
Cu 2.202 0.000 2.202
Cu 0.000 2.202 2.202
Cu 0.000 0.000 0.000
Cu 2.202 2.202 0.000
Zn 2.202 2.202 2.202
```

---

No. 4
# Pr3Dy6HoEr2

A relaxed structure of Pr3Dy6HoEr2 (GGA-PBE, Alexandria).

ΔH_f (0 K): 0.021 eV per atom
spin magnetization: 0.0 μB/f.u.
space-group type: C2/m

```
12
Lattice="-3.250 -2.429 4.690 3.739 -3.615 -3.378 8.639 4.305 6.851" Properties=species:S:1:pos:R:3 pbc="T T T"
Er 1.410 -3.220 -0.690
Er -0.921 -2.824 2.002
Dy 5.729 -1.094 7.507
Dy 3.399 -0.645 0.656
Dy 2.478 -3.468 2.656
Dy 6.650 1.730 5.506
Dy 1.068 -0.250 3.346
Dy 8.059 -1.489 4.817
Pr 6.893 -1.265 1.392
Pr 4.564 -0.869 4.081
Pr 2.234 -0.474 6.770
Ho 0.000 0.000 0.000
```

---

No. 5
# La4GePt3

A relaxed structure of La4GePt3 (GGA-PBE, Alexandria).

ΔH_f (0 K): -1.099 eV per atom
spin magnetization: 0.0 μB/f.u.
space-group type: Pmm2

```
8
Lattice="-2.669 0.868 2.987 2.368 -2.537 2.853 6.173 9.016 2.894" Properties=species:S:1:pos:R:3 pbc="T T T"
Pt 4.304 8.670 4.138
Pt 4.828 4.054 3.135
Pt 2.521 3.683 1.182
La 2.134 2.502 3.991
La 2.599 6.179 3.338
La 6.501 6.497 3.919
La 0.856 1.251 0.402
Ge 0.347 -0.109 3.153
```

---

No. 6
# VReH2

A relaxed structure of VReH2 (GGA-PBE, Alexandria).

spin magnetization: 0.0 μB/f.u.
space-group type: Fm-3m
total energy: -25.58 eV for the cell shown

```
4
Lattice="0.441 -1.788 3.157 0.525 1.865 3.098 -2.626 0.101 2.539" Properties=species:S:1:pos:R:3 pbc="T T T"
H -0.415 0.045 2.199
H -1.245 0.134 6.596
V 0.000 0.000 0.000
Re -0.830 0.089 4.397
```

---

Calculated theoretical density, 4.0; 14.5; 6.2; 8.1; 9.7; 11.5 g/cm³ (same order as the records).